1.
Material: AlI2NF
Method: DFT, PBE
State: relaxed

It has space group P4/mmm (No. 123), with a = 5.756 Å, b = 5.756 Å, c = 3.478 Å, α = 90.00°, β = 90.00° and γ = 90.00°. The inequivalent atoms are Al at (0.000, 0.000, 0.000), I at (0.000, 0.500, 0.000), N at (0.000, 0.000, 0.500) and F at (0.500, 0.500, 0.500).

The value obtained for the uncorrected formation energy is 0.1342 eV/atom. Its energy above the lowest structure with this stoichiometry is 0 meV per atom.

***

2.
Material: SrYRh3
Method: DFT, PBE
State: relaxed

It has space group Pm-3m (No. 221), with a = 5.022 Å, b = 5.022 Å, c = 5.022 Å, α = 90.00°, β = 90.00° and γ = 90.00°. The inequivalent atoms are Sr at (0.000, 0.000, 0.000), Y at (0.500, 0.500, 0.500) and Rh at (0.000, 0.500, 0.500).

Its energy above the lowest structure with this stoichiometry is 0 meV per atom.

***

3.
Material: BeTe2P
Method: DFT, PBE
State: relaxed

It has space group P4/mmm (No. 123), with a = 3.397 Å, b = 3.397 Å, c = 6.885 Å, α = 90.00°, β = 90.00° and γ = 90.00°. The inequivalent atoms are Be at (0.000, 0.000, 0.000), Te at (0.500, 0.500, 0.233) and P at (0.000, 0.000, 0.500).

The value obtained for the uncorrected formation energy is 0.6965 eV/atom. Its energy above the lowest structure with this stoichiometry is 668 meV per atom.

***

4.
Material: K2SrBe
Method: DFT, PBE
State: relaxed

It has space group Cm (No. 8), with a = 10.970 Å, b = 4.177 Å, c = 9.314 Å, α = 90.00°, β = 108.30° and γ = 90.00°. The inequivalent atoms are K at (0.000, 0.000, 0.000), K at (0.167, 0.000, 0.629), Sr at (0.320, 0.500, 0.314) and Be at (0.032, 0.500, 0.314).

The value obtained for the total energy is -1.385 eV/atom.

***

5.
Material: Nb2TePt
Method: DFT, PBE
State: relaxed

It has space group I-42d (No. 122), with a = 6.062 Å, b = 6.062 Å, c = 12.091 Å, α = 90.00°, β = 90.00° and γ = 90.00°. The inequivalent atoms are Nb at (0.211, 0.250, 0.125), Te at (0.000, 0.000, 0.500) and Pt at (0.000, 0.000, 0.000).

The value obtained for the uncorrected formation energy is 0.4258 eV/atom.

***

6.
Material: PaHRhO4
Method: DFT, PBE
State: relaxed

It has space group Imma (No. 74), with a = 5.457 Å, b = 7.586 Å, c = 8.757 Å, α = 90.00°, β = 90.00° and γ = 90.00°. The inequivalent atoms are Pa at (0.000, 0.000, 0.000), H at (0.000, 0.250, 0.495), Rh at (0.250, 0.250, 0.750), O at (0.000, 0.012, 0.771) and O at (0.227, 0.250, 0.511).

The value obtained for the total energy is -7.540 eV/atom.

***

7.
Material: AlHg2Ge2
Method: DFT, PBE
State: relaxed

It has space group I4/mmm (No. 139), with a = 3.677 Å, b = 3.677 Å, c = 16.797 Å, α = 90.00°, β = 90.00° and γ = 90.00°. The inequivalent atoms are Al at (0.000, 0.000, 0.000), Hg at (0.000, 0.000, 0.404) and Ge at (0.000, 0.500, 0.250).

Its energy above the lowest structure with this stoichiometry is 58 meV per atom.

***

8.
Material: Pm3Cd7In2
Method: DFT, PBE
State: relaxed

It has space group P2/m (No. 10), with a = 4.828 Å, b = 4.285 Å, c = 15.403 Å, α = 90.00°, β = 98.97° and γ = 90.00°. The inequivalent atoms are Pm at (0.000, 0.000, 0.000), Pm at (0.319, 0.500, 0.638), Cd at (0.076, 0.500, 0.153), Cd at (0.230, 0.000, 0.459), Cd at (0.422, 0.000, 0.842), Cd at (0.500, 0.500, 0.000) and In at (0.138, 0.000, 0.277).

The value obtained for the total energy is -2.410 eV/atom.